Entry 1:
AcZn2PtAu5, optimized geometry, DFT PBE-GGA; energy of formation = -0.210 eV per atom; VASP energy = -31.0 eV per cell; mass density = 13619 kg/m³
1.0
5.030 0.000 0.000
0.000 5.030 0.000
0.000 0.000 7.410
Ac Zn Pt Au
1 2 1 5
Cartesian
0.000 0.000 0.000 Ac
2.515 2.515 2.496 Zn
2.515 2.515 4.914 Zn
0.000 0.000 3.705 Pt
0.000 2.515 2.235 Au
0.000 2.515 5.175 Au
2.515 0.000 2.235 Au
2.515 0.000 5.175 Au
2.515 2.515 0.000 Au

Entry 2:
AcZn2PtAu2, optimized geometry, DFT PBE-GGA; energy of formation = -0.502 eV per atom; VASP energy = -22.3 eV per cell; mass density = 11566 kg/m³
1.0
4.885 0.000 0.000
0.000 4.885 0.000
0.000 0.000 5.697
Ac Zn Pt Au
1 2 1 2
Cartesian
0.000 0.000 0.000 Ac
0.000 2.442 2.849 Zn
2.442 0.000 2.849 Zn
0.000 0.000 2.849 Pt
2.442 2.442 1.370 Au
2.442 2.442 4.327 Au

Entry 3:
Ac2PuAu, optimized geometry, DFT PBE-GGA; energy of formation = -0.217 eV per atom; VASP energy = -26.7 eV per cell; mass density = 11060 kg/m³; energy above the lowest structure with this stoichiometry = 0.00 eV/f.u.
1.0
3.869 0.000 0.000
0.000 3.869 0.000
0.000 0.000 8.979
Ac Pu Au
2 1 1
Cartesian
0.000 0.000 1.942 Ac
0.000 0.000 7.037 Ac
1.934 1.934 4.489 Pu
1.934 1.934 0.000 Au

Entry 4:
AcPu2Au, optimized geometry, DFT PBE-GGA; energy of formation = -0.090 eV per atom; VASP energy = -36.4 eV per cell; mass density = 13349 kg/m³; energy above the lowest structure with this stoichiometry = 0.00 eV/f.u.
1.0
4.478 0.000 0.000
0.000 4.478 0.000
0.000 0.000 5.657
Ac Pu Au
1 2 1
Cartesian
0.000 0.000 0.000 Ac
0.000 2.239 2.829 Pu
2.239 0.000 2.829 Pu
2.239 2.239 0.000 Au

Entry 5:
Ac2PuAu, optimized geometry, DFT PBE-GGA; energy of formation = 0.123 eV per atom; VASP energy = -25.3 eV per cell; mass density = 10013 kg/m³; energy above the lowest structure with this stoichiometry = 1.36 eV/f.u.
1.0
1.920 1.109 11.619
-1.920 1.109 11.619
0.000 -2.217 11.619
Ac Pu Au
2 1 1
Cartesian
0.000 0.000 3.513 Ac
0.000 0.000 31.343 Ac
0.000 0.000 0.000 Pu
0.000 0.000 17.428 Au

Entry 6:
AcPu2Au, optimized geometry, DFT PBE-GGA; energy of formation = -0.056 eV per atom; VASP energy = -36.3 eV per cell; mass density = 12754 kg/m³; energy above the lowest structure with this stoichiometry = 0.14 eV/f.u.
1.0
3.816 0.000 0.000
0.000 3.816 0.000
0.000 0.000 8.156
Ac Pu Au
1 2 1
Cartesian
0.000 0.000 0.000 Ac
1.908 1.908 2.492 Pu
1.908 1.908 5.664 Pu
0.000 0.000 4.078 Au